First-principles (PBE) data for crystalline BaSrTl2Cl6 at its relaxed geometry, as listed in Alexandria via LeMat-Bulk.

The formation energy without anion corrections comes out at -1.8927 eV per atom. The density of states at the Fermi level comes out at 0.00 states/eV/atom.

Lattice parameters (Å, degrees): 7.9283 7.9283 20.4208 90.00 90.00 120.00
With the nearest neighbours (Å) after each atom.
Space group R3 (No. 146, hexagonal axes)
Asymmetric unit:
Ba 0.0000 0.0000 0.0000 [3 per cell]  6 Cl 3.07-3.12
Sr 0.0000 0.0000 0.4975 [3 per cell]  6 Cl 2.91-2.94
Tl 0.0000 0.0000 0.2876 [3 per cell]  6 Cl 3.26-3.27
Tl 0.0000 0.0000 0.7895 [3 per cell]  6 Cl 3.23-3.28
Cl 0.0622 0.7157 0.5672 [9 per cell]  1 Sr 2.91, 1 Ba 3.12
Cl 0.0682 0.3700 0.0707 [9 per cell]  1 Sr 2.94, 1 Ba 3.07, 2 Tl 3.23-3.26

***

First-principles (PBE) data for crystalline BaSr2VCl8 at its relaxed geometry, as listed in Alexandria via LeMat-Bulk.

The formation energy without anion corrections comes out at -2.0907 eV per atom.

Lattice parameters (Å, degrees): 6.5082 8.7791 6.6056 90.00 90.32 90.00
With the nearest neighbours (Å) after each atom.
Space group P2/m (No. 10)
Asymmetric unit:
Ba 0.0000 0.0000 0.0000 [1 per cell]  6 Cl 3.02-3.10
Sr 0.5000 0.2679 0.5000 [2 per cell]  6 Cl 2.91-2.93
V 0.0000 0.5000 0.0000 [1 per cell]  6 Cl 2.52-2.57
Cl 0.2152 0.2923 0.1585 [4 per cell]  1 V 2.52
Cl 0.2465 0.5000 0.6972 [2 per cell]  1 V 2.57
Cl 0.2751 0.0000 0.6329 [2 per cell]  2 Sr 2.91, 1 Ba 3.02

***

First-principles (PBE) data for crystalline BaSrYCl2 at its relaxed geometry, as listed in Alexandria via LeMat-Bulk.

The formation energy without anion corrections comes out at -0.6361 eV per atom. The density of states at the Fermi level comes out at 1.29 states/eV/atom.

Lattice parameters (Å, degrees): 5.4924 5.4924 11.3107 90.00 90.00 90.00
With the nearest neighbours (Å) after each atom.
Space group P4/mmm (No. 123)
Asymmetric unit:
Ba 0.0000 0.0000 0.0000 [1 per cell]  4 Y 3.88
Sr 0.0000 0.0000 0.5000 [1 per cell]  4 Cl 2.75
Y 0.5000 0.5000 0.0000 [1 per cell]  4 Ba 3.88
Cl 0.0000 0.5000 0.5000 [2 per cell]  2 Sr 2.75

***

First-principles (PBE) data for crystalline BaSrZnCl at its relaxed geometry, as listed in Alexandria via LeMat-Bulk.

The formation energy without anion corrections comes out at -0.7094 eV per atom. The density of states at the Fermi level comes out at 1.21 states/eV/atom.

Lattice parameters (Å, degrees): 8.1008 8.1008 8.1008 90.00 90.00 90.00
With the nearest neighbours (Å) after each atom.
Space group F-43m (No. 216)
Asymmetric unit:
Ba 0.0000 0.0000 0.0000 [4 per cell]  4 Zn 3.51, 4 Cl 3.51
Sr 0.0000 0.0000 0.5000 [4 per cell]  4 Cl 3.51, 4 Zn 3.51
Zn 0.2500 0.2500 0.7500 [4 per cell]  4 Ba 3.51, 4 Sr 3.51
Cl 0.2500 0.2500 0.2500 [4 per cell]  4 Ba 3.51, 4 Sr 3.51

***

First-principles (PBE) data for crystalline BaSr2ZnCl8 at its relaxed geometry, as listed in Alexandria via LeMat-Bulk.

The formation energy without anion corrections comes out at -2.0750 eV per atom. The density of states at the Fermi level comes out at 0.00 states/eV/atom.

Lattice parameters (Å, degrees): 6.5514 8.7728 6.6417 90.00 90.98 90.00
With the nearest neighbours (Å) after each atom.
Space group P2/m (No. 10)
Asymmetric unit:
Ba 0.0000 0.0000 0.0000 [1 per cell]  6 Cl 3.03-3.10
Sr 0.5000 0.2687 0.5000 [2 per cell]  6 Cl 2.90-2.93
Zn 0.0000 0.5000 0.0000 [1 per cell]  6 Cl 2.49-2.65
Cl 0.2065 0.2947 0.1630 [4 per cell]  1 Zn 2.49
Cl 0.2587 0.5000 0.6985 [2 per cell]  1 Zn 2.65, 2 Sr 2.90
Cl 0.2837 0.0000 0.6440 [2 per cell]  2 Sr 2.92, 1 Ba 3.03

***

First-principles (PBE) data for crystalline BaTa2Cl at its relaxed geometry, as listed in Alexandria via LeMat-Bulk.

The formation energy without anion corrections comes out at 0.9444 eV per atom. The density of states at the Fermi level comes out at 0.88 states/eV/atom. For the energy above the most stable polymorph in this dataset, the calculation gives 388 kJ/mol of formula units.

Lattice parameters (Å, degrees): 3.0716 3.0716 9.3933 90.00 90.00 90.00
With the nearest neighbours (Å) after each atom.
Space group P4/mmm (No. 123)
Asymmetric unit:
Ba 0.0000 0.0000 0.0000 [1 per cell]  4 Ba 3.07
Ta 0.5000 0.5000 0.3216 [2 per cell]  4 Cl 2.74, 4 Ta 3.07
Cl 0.0000 0.0000 0.5000 [1 per cell]  8 Ta 2.74, 4 Cl 3.07

***

First-principles (PBE) data for crystalline BaTa2Cl at its relaxed geometry, as listed in Alexandria via LeMat-Bulk.

The formation energy without anion corrections comes out at 0.2825 eV per atom. The density of states at the Fermi level comes out at 0.63 states/eV/atom. For the energy above the most stable polymorph in this dataset, the calculation gives 132 kJ/mol of formula units.

Lattice parameters (Å, degrees): 9.4005 3.2008 7.5835 90.00 110.65 90.00
With the nearest neighbours (Å) after each atom.
Space group Cm (No. 8)
Asymmetric unit:
Ba 0.0000 0.0000 0.0000 [2 per cell]  3 Cl 3.11-3.21, 2 Ba 3.20
Ta 0.0997 0.5000 0.4528 [2 per cell]  3 Ta 2.59-2.79, 2 Cl 2.65
Ta 0.3407 0.5000 0.3623 [2 per cell]  3 Ta 2.59-2.79
Cl 0.2004 0.0000 0.7492 [2 per cell]  2 Ta 2.65

***

First-principles (PBE) data for crystalline BaTa2Cl at its relaxed geometry, as listed in Alexandria via LeMat-Bulk.

The formation energy without anion corrections comes out at 0.9607 eV per atom. The density of states at the Fermi level comes out at 1.47 states/eV/atom. For the energy above the most stable polymorph in this dataset, the calculation gives 394 kJ/mol of formula units.

Lattice parameters (Å, degrees): 5.4566 13.5026 3.0915 90.00 90.00 90.00
With the nearest neighbours (Å) after each atom.
Space group Cmmm (No. 65)
Asymmetric unit:
Ba 0.0000 0.0000 0.0000 [2 per cell]  2 Cl 2.73
Ta 0.2500 0.2500 0.5000 [4 per cell]  2 Ta 2.73
Cl 0.0000 0.5000 0.0000 [2 per cell]  2 Ba 2.73

***

First-principles (PBE) data for crystalline BaTa2Cl at its relaxed geometry, as listed in Alexandria via LeMat-Bulk.

The formation energy without anion corrections comes out at 0.0086 eV per atom. The density of states at the Fermi level comes out at 1.38 states/eV/atom. For the energy above the most stable polymorph in this dataset, the calculation gives 27 kJ/mol of formula units.

Lattice parameters (Å, degrees): 3.3507 3.6414 16.7123 90.00 90.00 90.00
With the nearest neighbours (Å) after each atom.
Space group Amm2 (No. 38)
Asymmetric unit:
Ba 0.0000 0.0000 0.0000 [2 per cell]  4 Ba 3.35-3.64, 4 Cl 3.36, 4 Ta 3.61
Ta 0.0000 0.0000 0.2325 [2 per cell]  2 Cl 2.77, 4 Ta 2.77
Ta 0.5000 0.0000 0.6574 [2 per cell]  4 Ta 2.77
Cl 0.5000 0.0000 0.3641 [2 per cell]  2 Ta 2.77

***

First-principles (PBE) data for crystalline BaTa2Cl at its relaxed geometry, as listed in Alexandria via LeMat-Bulk.

The formation energy without anion corrections comes out at 0.1979 eV per atom. The density of states at the Fermi level comes out at 1.18 states/eV/atom. For the energy above the most stable polymorph in this dataset, the calculation gives 100 kJ/mol of formula units.

Lattice parameters (Å, degrees): 3.6744 5.2650 9.7552 90.00 90.00 90.00
With the nearest neighbours (Å) after each atom.
Space group Cmm2 (No. 35)
Asymmetric unit:
Ba 0.0000 0.0000 0.0000 [2 per cell]  4 Ba 3.21, 2 Cl 3.22, 2 Ta 3.54
Ta 0.0000 0.0000 0.4926 [2 per cell]  2 Ta 2.66, 2 Cl 2.83
Ta 0.0000 0.5000 0.6899 [2 per cell]  2 Ta 2.66
Cl 0.0000 0.5000 0.2717 [2 per cell]  2 Ta 2.83

***

First-principles (PBE) data for crystalline BaTaCl2 at its relaxed geometry, as listed in Alexandria via LeMat-Bulk.

The formation energy without anion corrections comes out at 0.0635 eV per atom. The density of states at the Fermi level comes out at 1.63 states/eV/atom. For the energy above the most stable polymorph in this dataset, the calculation gives 216 kJ/mol of formula units.

Lattice parameters (Å, degrees): 7.4237 7.4237 7.4237 90.00 90.00 90.00
With the nearest neighbours (Å) after each atom.
Space group Fm-3m (No. 225)
Asymmetric unit:
Ba 0.0000 0.0000 0.0000 [4 per cell]  8 Cl 3.21
Ta 0.0000 0.0000 0.5000 [4 per cell]  8 Cl 3.21
Cl 0.2500 0.2500 0.2500 [8 per cell]  4 Ba 3.21, 4 Ta 3.21

***

First-principles (PBE) data for crystalline BaTa2Cl at its relaxed geometry, as listed in Alexandria via LeMat-Bulk.

The formation energy without anion corrections comes out at -0.0607 eV per atom. The density of states at the Fermi level comes out at 0.87 states/eV/atom. For the energy above the most stable polymorph in this dataset, the calculation gives 0 kJ/mol of formula units.

Lattice parameters (Å, degrees): 5.0626 5.0786 16.6157 90.00 90.00 90.00
With the nearest neighbours (Å) after each atom.
Space group Fmm2 (No. 42)
Asymmetric unit:
Ba 0.0000 0.0000 0.0000 [4 per cell]  4 Cl 3.28, 4 Ba 3.59, 4 Ta 3.66-3.67
Ta 0.0000 0.0000 0.3407 [4 per cell]  4 Ta 2.74-2.75
Ta 0.0000 0.0000 0.7779 [4 per cell]  1 Cl 2.54, 4 Ta 2.74-2.75
Cl 0.0000 0.0000 0.6251 [4 per cell]  1 Ta 2.54

***

First-principles (PBE) data for crystalline BaTa2Cl at its relaxed geometry, as listed in Alexandria via LeMat-Bulk.

The formation energy without anion corrections comes out at 0.0903 eV per atom. The density of states at the Fermi level comes out at 0.76 states/eV/atom. For the energy above the most stable polymorph in this dataset, the calculation gives 58 kJ/mol of formula units.

Lattice parameters (Å, degrees): 3.5799 3.5799 9.1113 90.00 90.00 90.00
With the nearest neighbours (Å) after each atom.
Space group P4mm (No. 99)
Asymmetric unit:
Ba 0.0000 0.0000 0.0000 [1 per cell]  4 Cl 3.11
Ta 0.0000 0.0000 0.5883 [1 per cell]  4 Ta 2.72
Ta 0.5000 0.5000 0.6984 [1 per cell]  4 Ta 2.72
Cl 0.5000 0.5000 0.1988 [1 per cell]  4 Ba 3.11

***

First-principles (PBE) data for crystalline BaTa2Cl at its relaxed geometry, as listed in Alexandria via LeMat-Bulk.

The formation energy without anion corrections comes out at 0.9411 eV per atom. The density of states at the Fermi level comes out at 0.99 states/eV/atom. For the energy above the most stable polymorph in this dataset, the calculation gives 387 kJ/mol of formula units.

Lattice parameters (Å, degrees): 4.9820 4.9820 19.2292 90.00 90.00 90.00
With the nearest neighbours (Å) after each atom.
Space group I4_1/amd (No. 141, origin choice 2)
Asymmetric unit:
Ba 0.0000 0.2500 0.3750 [4 per cell]  4 Cl 3.52, 8 Ta 3.68
Ta 0.0000 0.0000 0.0000 [8 per cell]  2 Ta 2.49, 2 Cl 2.71
Cl 0.0000 0.2500 0.8750 [4 per cell]  4 Ta 2.71

***

First-principles (PBE) data for crystalline Ba2TaCl at its relaxed geometry, as listed in Alexandria via LeMat-Bulk.

The formation energy without anion corrections comes out at -0.0037 eV per atom. The density of states at the Fermi level comes out at 0.48 states/eV/atom. For the energy above the most stable polymorph in this dataset, the calculation gives 14 kJ/mol of formula units.

Lattice parameters (Å, degrees): 4.0512 4.0512 29.0116 90.00 90.00 120.00
With the nearest neighbours (Å) after each atom.
Space group R-3m (No. 166, hexagonal axes)
Asymmetric unit:
Ba 0.0000 0.0000 0.2480 [6 per cell]  3 Cl 3.32, 3 Ta 3.40
Ta 0.0000 0.0000 0.0000 [3 per cell]  6 Ba 3.40
Cl 0.0000 0.0000 0.5000 [3 per cell]  6 Ba 3.32